A relaxed structure of BaRh2F. Source: Alexandria, functional GGA-PBE.

formation energy from raw total energies: -250 meV per atom
spin magnetization: 0.000 μB per cell

a b c (Å): 4.8135 4.8135 16.6611
angles (deg): 90.00 90.00 90.00
Space group I-42d (No. 122)
Symmetry-distinct sites (fractional):
Ba 0.0000 0.0000 0.0000
Rh 0.0092 0.7500 0.6250
F 0.0000 0.0000 0.5000